A plane-wave DFT calculation with GGA+U was carried out for Pm2SmWO8 after structural relaxation.

Geometry as CIF:
```
data_Pm2SmWO8
_cell_length_a 7.2945
_cell_length_b 7.3700
_cell_length_c 7.0107
_cell_angle_alpha 90.00
_cell_angle_beta 90.00
_cell_angle_gamma 90.00
_symmetry_space_group_name_H-M 'C m m m'
_symmetry_Int_Tables_number 65
_symmetry_space_group_name_Hall '-C 2 2'
loop_
_atom_site_label
_atom_site_type_symbol
_atom_site_fract_x
_atom_site_fract_y
_atom_site_fract_z
Pm1 Pm 0.0000 0.0000 0.2471
Sm1 Sm 0.0000 0.5000 0.5000
W1 W 0.0000 0.5000 0.0000
O1 O 0.0000 0.3206 0.2070
O2 O 0.1921 0.0000 0.5000
O3 O 0.2323 0.0000 0.0000
```

Calculated values
The electronic total energy comes out at -7.841 eV per atom.